VASP calculation (PBE-GGA) on Lu2ScBe after structural relaxation.

Results
SG   F-43m, No. 216
Magnetic moment   0.0 μB per formula unit
Electronic total energy   -4.47 eV/atom

Cell lengths 5.0274, 5.0274, 5.0274 Å; angles 60.00, 60.00, 60.00 degrees
Closest atoms and distances in Å follow each position.
Fractional positions:
Lu  0.0000  0.0000  0.0000  4 Sc 3.08, 4 Lu 3.08
Lu  0.2500  0.2500  0.2500  4 Be 3.08, 4 Lu 3.08
Sc  0.7500  0.7500  0.7500  4 Lu 3.08, 4 Be 3.08
Be  0.5000  0.5000  0.5000  4 Sc 3.08, 4 Lu 3.08

=====

VASP calculation (PBE-GGA) on Ac2IrPd after structural relaxation.

Results
SG   P2_1/m, No. 11
Magnetic moment   0.0 μB per formula unit
Formation enthalpy at 0 K   -750 meV per atom

Cell lengths 6.2068, 4.4996, 8.3308 Å; angles 90.00, 110.19, 90.00 degrees
Closest atoms and distances in Å follow each position.
Fractional positions:
Ac  0.2247  0.2500  0.4394  4 Ir 3.08-3.42, 3 Pd 3.17-3.30
Ac  0.2327  0.2500  0.9249  3 Ir 3.06-3.32, 4 Pd 3.15-3.29
Ac  0.7673  0.7500  0.0751  3 Ir 3.06-3.32, 4 Pd 3.15-3.29
Ac  0.7753  0.7500  0.5606  4 Ir 3.08-3.42, 3 Pd 3.17-3.30
Ir  0.3261  0.7500  0.7086  2 Pd 3.04, 6 Ac 3.06-3.32
Ir  0.6739  0.2500  0.2914  2 Pd 3.04, 6 Ac 3.06-3.32
Pd  0.3239  0.7500  0.2055  2 Ir 3.04, 7 Ac 3.15-3.30
Pd  0.6761  0.2500  0.7945  2 Ir 3.04, 7 Ac 3.15-3.30

=====

VASP calculation (PBE-GGA) on PrNdPb2 after structural relaxation.

Results
SG   Amm2, No. 38
Magnetic moment   0.0 μB per formula unit
Electronic total energy   -4.81 eV/atom

Cell lengths 4.5251, 6.4501, 6.4501 Å; angles 42.90, 90.00, 90.00 degrees
Closest atoms and distances in Å follow each position.
Fractional positions:
Pr  0.0000  0.0000  0.0000  7 Pb 3.26-3.62
Nd  0.5000  0.2648  0.2648  7 Pb 3.27-3.61
Pb  0.0000  0.7283  0.7283  2 Pb 3.23, 1 Pr 3.26, 4 Nd 3.30
Pb  0.5000  0.5368  0.5368  2 Pb 3.23, 1 Nd 3.27, 4 Pr 3.30

=====

VASP calculation (PBE-GGA) on ZrSc after structural relaxation.

Results
SG   Amm2, No. 38
Magnetic moment   0.0 μB per formula unit
Formation enthalpy at 0 K   -17 meV per atom

Cell lengths 5.1345, 8.5795, 8.5795 Å; angles 141.85, 90.00, 90.00 degrees
Closest atoms and distances in Å follow each position.
Fractional positions:
Zr  0.0000  0.0000  0.0000  10 Sc 3.18-3.26, 2 Zr 3.25
Zr  0.0000  0.2071  0.8062  7 Zr 3.16-3.25, 5 Sc 3.17-3.25
Zr  0.0000  0.8062  0.2071  7 Zr 3.16-3.25, 5 Sc 3.17-3.25
Zr  0.5000  0.1337  0.5381  6 Zr 3.16-3.20, 6 Sc 3.19-3.28
Zr  0.5000  0.5381  0.1337  6 Zr 3.16-3.20, 6 Sc 3.19-3.28
Sc  0.0000  0.4030  0.6047  5 Sc 3.19-3.27, 7 Zr 3.19-3.26
Sc  0.0000  0.6047  0.4030  5 Sc 3.19-3.27, 7 Zr 3.19-3.26
Sc  0.5000  0.3352  0.3352  4 Zr 3.18-3.28, 8 Sc 3.19-3.28
Sc  0.5000  0.7394  0.9418  7 Zr 3.17-3.27, 5 Sc 3.19-3.28
Sc  0.5000  0.9418  0.7394  7 Zr 3.17-3.27, 5 Sc 3.19-3.28

=====

VASP calculation (PBE-GGA) on Co3P5Au after structural relaxation.

Results
SG   P6/mmm, No. 191
Magnetic moment   0.0 μB per formula unit
Electronic total energy   -5.64 eV/atom

Cell lengths 4.7289, 4.7289, 6.6485 Å; angles 90.00, 90.00, 120.00 degrees
Closest atoms and distances in Å follow each position.
Fractional positions:
Co  0.0000  0.5000  0.0000  6 P 2.30-2.36, 4 Co 2.36
Co  0.5000  0.0000  0.0000  6 P 2.30-2.36, 4 Co 2.36
Co  0.5000  0.5000  0.0000  6 P 2.30-2.36, 4 Co 2.36
P  0.0000  0.0000  0.0000  6 Co 2.36
P  0.3333  0.6667  0.2788  3 Co 2.30
P  0.3333  0.6667  0.7212  3 Co 2.30
P  0.6667  0.3333  0.2788  3 Co 2.30
P  0.6667  0.3333  0.7212  3 Co 2.30
Au  0.0000  0.0000  0.5000  14 P 3.10-3.32

=====

VASP calculation (PBE-GGA) on TaTlTcNi after structural relaxation.

Results
SG   F-43m, No. 216
Magnetic moment   0.2 μB per formula unit
Energy relative to the lowest polymorph listed for this composition   0.292 eV per atom

Cell lengths 4.5431, 4.5431, 4.5431 Å; angles 60.00, 60.00, 60.00 degrees
Closest atoms and distances in Å follow each position.
Fractional positions:
Ta  0.0000  0.0000  0.0000  4 Tl 2.78, 4 Tc 2.78
Tl  0.2500  0.2500  0.2500  4 Ni 2.78, 4 Ta 2.78
Tc  0.7500  0.7500  0.7500  4 Ni 2.78, 4 Ta 2.78
Ni  0.5000  0.5000  0.5000  4 Tc 2.78, 4 Tl 2.78

=====

VASP calculation (PBE-GGA) on ZrTlGaS3 after structural relaxation.

Results
SG   Cmcm, No. 63
Magnetic moment   0.0 μB per formula unit
Electronic total energy   -5.29 eV/atom

Cell lengths 7.9586, 7.9586, 10.5908 Å; angles 90.00, 90.00, 153.11 degrees
Closest atoms and distances in Å follow each position.
Fractional positions:
Zr  0.0000  0.0000  0.0000  6 S 2.56-2.66
Zr  0.0000  0.0000  0.5000  6 S 2.56-2.66
Tl  0.2885  0.7115  0.7500  2 S 3.01, 2 Ga 3.15
Tl  0.7115  0.2885  0.2500  2 S 3.01, 2 Ga 3.15
Ga  0.3764  0.6236  0.2500  4 S 2.50-2.69
Ga  0.6236  0.3764  0.7500  4 S 2.50-2.69
S  0.0146  0.9854  0.7500  2 Ga 2.50, 2 Zr 2.66
S  0.3853  0.6147  0.5039  2 Zr 2.56, 1 Ga 2.69
S  0.3853  0.6147  0.9961  2 Zr 2.56, 1 Ga 2.69
S  0.6147  0.3853  0.0039  2 Zr 2.56, 1 Ga 2.69
S  0.6147  0.3853  0.4961  2 Zr 2.56, 1 Ga 2.69
S  0.9854  0.0146  0.2500  2 Ga 2.50, 2 Zr 2.66

=====

VASP calculation (PBE-GGA) on ScPaAsO after structural relaxation.

Results
SG   P4/nmm, No. 129
Magnetic moment   0.1 μB per formula unit
Energy relative to the lowest polymorph listed for this composition   0.417 eV per atom

Cell lengths 4.1677, 4.1677, 8.8683 Å; angles 90.00, 90.00, 90.00 degrees
Closest atoms and distances in Å follow each position.
Fractional positions:
Sc  0.2500  0.2500  0.0774  4 O 2.19
Sc  0.7500  0.7500  0.9226  4 O 2.19
Pa  0.2500  0.7500  0.5000  4 Pa 2.95, 4 As 2.95
Pa  0.7500  0.2500  0.5000  4 Pa 2.95, 4 As 2.95
As  0.2500  0.2500  0.7354  4 Pa 2.95, 1 Sc 3.03, 4 O 3.14
As  0.7500  0.7500  0.2646  4 Pa 2.95, 1 Sc 3.03, 4 O 3.14
O  0.2500  0.7500  0.0000  4 Sc 2.19
O  0.7500  0.2500  0.0000  4 Sc 2.19

=====

VASP calculation (PBE-GGA) on Cd2CoPd after structural relaxation.

Results
SG   F-43m, No. 216
Magnetic moment   1.5 μB per formula unit
Formation enthalpy at 0 K   136 meV per atom

Cell lengths 4.4894, 4.4894, 4.4894 Å; angles 60.00, 60.00, 60.00 degrees
Closest atoms and distances in Å follow each position.
Fractional positions:
Cd  0.0000  0.0000  0.0000  4 Cd 2.75, 4 Co 2.75
Cd  0.2500  0.2500  0.2500  4 Cd 2.75, 4 Pd 2.75
Co  0.7500  0.7500  0.7500  4 Cd 2.75, 4 Pd 2.75
Pd  0.5000  0.5000  0.5000  4 Cd 2.75, 4 Co 2.75

=====

VASP calculation (PBE-GGA) on HoNbNO after structural relaxation.

Results
SG   P4/mmm, No. 123
Magnetic moment   0.0 μB per formula unit
Energy relative to the lowest polymorph listed for this composition   0.155 eV per atom

Cell lengths 3.3261, 3.3261, 4.4938 Å; angles 90.00, 90.00, 90.00 degrees
Closest atoms and distances in Å follow each position.
Fractional positions:
Ho  0.0000  0.0000  0.0000  2 O 2.25, 4 N 2.35
Nb  0.5000  0.5000  0.5000  2 N 2.25, 4 O 2.35
N  0.5000  0.5000  0.0000  2 Nb 2.25, 4 Ho 2.35
O  0.0000  0.0000  0.5000  2 Ho 2.25, 4 Nb 2.35

=====

VASP calculation (PBE-GGA) on Hf2Ni2GePb after structural relaxation.

Results
SG   Pm, No. 6
Magnetic moment   0.0 μB per formula unit
Electronic total energy   -7.07 eV/atom

Cell lengths 10.4518, 4.2603, 10.4799 Å; angles 90.00, 109.53, 90.00 degrees
Closest atoms and distances in Å follow each position.
Fractional positions:
Hf  0.0000  0.0000  0.0000  4 Ni 2.58-2.69
Hf  0.1187  0.5000  0.3735  4 Ni 2.55-2.63
Hf  0.2390  0.0000  0.7407  4 Ni 2.63-2.66, 1 Ge 2.93
Hf  0.3755  0.5000  0.1376  4 Ni 2.54-2.77
Hf  0.5026  0.0000  0.4974  4 Ni 2.48-2.75
Hf  0.6273  0.5000  0.8651  4 Ni 2.57-2.70
Hf  0.7476  0.0000  0.2613  4 Ni 2.58-2.88
Hf  0.8675  0.5000  0.6195  4 Ni 2.50-2.57
Ni  0.1315  0.5000  0.1344  4 Hf 2.54-2.67, 2 Ge 2.56, 2 Pb 2.69-2.70
Ni  0.2368  0.0000  0.4883  2 Ge 2.51-2.57, 4 Hf 2.55-2.75, 2 Pb 2.67
Ni  0.3714  0.5000  0.8724  4 Pb 2.62-2.64, 4 Hf 2.66-2.77
Ni  0.5000  0.0000  0.2602  4 Hf 2.48-2.60, 3 Ge 2.58-2.61, 1 Pb 2.72
Ni  0.6289  0.5000  0.6204  4 Hf 2.50-2.61, 3 Ge 2.53-2.60, 1 Pb 2.69
Ni  0.7492  0.0000  0.9872  1 Ge 2.53, 3 Hf 2.58-2.59, 3 Pb 2.64-2.67
Ni  0.8700  0.5000  0.3816  4 Hf 2.50-2.63, 3 Ge 2.56-2.58, 1 Pb 2.69
Ni  0.9868  0.0000  0.7390  2 Ge 2.51-2.55, 4 Hf 2.57-2.69, 2 Pb 2.69
Ge  0.2473  0.0000  0.2524  4 Ni 2.51-2.61
Ge  0.6233  0.5000  0.3771  4 Ni 2.53-2.58
Ge  0.7494  0.0000  0.7463  4 Ni 2.51-2.60
Ge  0.9950  0.0000  0.4988  4 Ni 2.55-2.58
Pb  0.1220  0.5000  0.8748  4 Ni 2.62-2.69
Pb  0.3718  0.5000  0.6206  4 Ni 2.64-2.69
Pb  0.4985  0.0000  0.9999  4 Ni 2.63-2.72
Pb  0.8700  0.5000  0.1249  4 Ni 2.64-2.70

=====

VASP calculation (PBE-GGA) on LiScFeMo after structural relaxation.

Results
SG   F-43m, No. 216
Magnetic moment   0.0 μB per formula unit
Energy relative to the lowest polymorph listed for this composition   0.000 eV per atom

Cell lengths 4.3250, 4.3250, 4.3250 Å; angles 60.00, 60.00, 60.00 degrees
Closest atoms and distances in Å follow each position.
Fractional positions:
Li  0.0000  0.0000  0.0000  4 Mo 2.65, 4 Sc 2.65
Sc  0.2500  0.2500  0.2500  4 Fe 2.65, 4 Li 2.65
Fe  0.5000  0.5000  0.5000  4 Mo 2.65, 4 Sc 2.65
Mo  0.7500  0.7500  0.7500  4 Fe 2.65, 4 Li 2.65